1.
Density functional theory data (PBE) for Tl4Zn3 after structural relaxation.

Properties
Total moment   0.00 μB per cell
E above lowest polymorph   18.9 kJ/mol of formula units
ρ   9.7 g/cm³
Formation energy   0.118 eV/atom
Calculated volume   347.7 Å³/cell
Raw total energy   -24.92 eV for the cell shown

a = 3.381 Å, b = 3.381 Å, c = 30.408 Å
α = 90.00°, β = 90.00°, γ = 90.00°
Space group I4/mmm (No. 139)
One atom of each set of equivalent atoms:
Tl  0.000  0.000  0.067 x4
Tl  0.000  0.000  0.342 x4
Zn  0.000  0.000  0.230 x4
Zn  0.000  0.000  0.500 x2

2.
Density functional theory data (PBE) for BaMg3Cr after structural relaxation.

Properties
Total moment   3.89 μB per cell
ρ   2.8 g/cm³
Formation energy   0.318 eV/atom
Calculated volume   155.0 Å³/cell
Raw total energy   -14.74 eV for the cell shown

a = 5.372 Å, b = 5.372 Å, c = 5.372 Å
α = 90.00°, β = 90.00°, γ = 90.00°
Space group Pm-3m (No. 221)
One atom of each set of equivalent atoms:
Ba  0.000  0.000  0.000 x1
Mg  0.000  0.500  0.500 x3
Cr  0.500  0.500  0.500 x1

3.
Density functional theory data (PBE) for Sr2BiC after structural relaxation.

Properties
Total moment   11.82 μB per cell
ρ   5.4 g/cm³
Formation energy   0.585 eV/atom
Calculated volume   489.1 Å³/cell
Raw total energy   -56.51 eV for the cell shown

a = 7.879 Å, b = 7.879 Å, c = 7.879 Å
α = 90.00°, β = 90.00°, γ = 90.00°
Space group Fm-3m (No. 225)
One atom of each set of equivalent atoms:
Sr  0.250  0.250  0.250 x8
Bi  0.000  0.000  0.000 x4
C  0.000  0.000  0.500 x4

4.
Density functional theory data (PBE) for LuGaNi2 after structural relaxation.

Properties
Total moment   0.00 μB per cell
ρ   9.9 g/cm³
Formation energy   -0.420 eV/atom
Calculated volume   60.8 Å³/cell
Raw total energy   -20.79 eV for the cell shown

a = 3.181 Å, b = 3.181 Å, c = 6.011 Å
α = 90.00°, β = 90.00°, γ = 90.00°
Space group P4/mmm (No. 123)
One atom of each set of equivalent atoms:
Lu  0.000  0.000  0.000 x1
Ga  0.000  0.000  0.500 x1
Ni  0.500  0.500  0.288 x2

5.
Density functional theory data (PBE) for Pm2HPt4 after structural relaxation.

Properties
Total moment   0.00 μB per cell
E above lowest polymorph   41.1 kJ/mol of formula units
ρ   12.8 g/cm³
Calculated volume   278.6 Å³/cell
Raw total energy   -84.21 eV for the cell shown

a = 5.617 Å, b = 5.617 Å, c = 8.832 Å
α = 90.00°, β = 90.00°, γ = 90.00°
Space group I4/mmm (No. 139)
One atom of each set of equivalent atoms:
Pm  0.000  0.500  0.250 x4
H  0.000  0.000  0.000 x2
Pt  0.248  0.248  0.500 x8

6.
Density functional theory data (PBE) for Ga2PtRh3 after structural relaxation.

Properties
Total moment   0.00 μB per cell
E above lowest polymorph   8.7 kJ/mol of formula units
ρ   12.4 g/cm³
Formation energy   -0.479 eV/atom
Calculated volume   86.4 Å³/cell
Raw total energy   -37.02 eV for the cell shown

a = 4.569 Å, b = 2.892 Å, c = 6.619 Å
α = 90.00°, β = 99.08°, γ = 90.00°
Space group P2/m (No. 10)
One atom of each set of equivalent atoms:
Ga  0.212  0.000  0.321 x2
Pt  0.500  0.000  0.000 x1
Rh  0.000  0.500  0.000 x1
Rh  0.275  0.500  0.647 x2

7.
Density functional theory data (PBE) for SnPdS2 after structural relaxation.

Properties
Total moment   0.00 μB per cell
ρ   5.0 g/cm³
ΔE_f (raw)   -180 meV/atom
Calculated volume   382.3 Å³/cell
Raw total energy   -72.68 eV for the cell shown

a = 5.700 Å, b = 5.700 Å, c = 11.765 Å
α = 90.00°, β = 90.00°, γ = 90.00°
Space group I-42d (No. 122)
One atom of each set of equivalent atoms:
Sn  0.000  0.000  0.000 x4
Pd  0.000  0.000  0.500 x4
S  0.223  0.250  0.625 x8

8.
Density functional theory data (PBE) for YGe3O after structural relaxation.

Properties
Total moment   2.38 μB per cell
E above lowest polymorph   787.2 kJ/mol of formula units
ρ   3.2 g/cm³
ΔE_f (raw)   1188 meV/atom
Calculated volume   165.2 Å³/cell
Raw total energy   -19.33 eV for the cell shown

a = 5.487 Å, b = 5.487 Å, c = 5.487 Å
α = 90.00°, β = 90.00°, γ = 90.00°
Space group Pm-3m (No. 221)
One atom of each set of equivalent atoms:
Y  0.000  0.000  0.000 x1
Ge  0.000  0.000  0.500 x3
O  0.500  0.500  0.500 x1